The following is a DFT calculation (GGA-PBE) of a relaxed NaMnZn3 crystal.

abc: 4.826 4.826 4.826
angles: 90.00 90.00 90.00
Each line ends with the local moment (μB).
Fractional positions:
1 Mn 0.000 0.000 0.000  2.90
2 Zn 0.500 0.000 0.000  -0.03
3 Zn 0.000 0.500 0.000  0.01
4 Na 0.500 0.500 0.500  -0.02
5 Zn 0.000 0.000 0.500  0.02

N(E_F) = 7.352 states/eV/f.u.
E_form = 0.377 eV per atom
space group = No. 221
offset from the most stable computed form = 0.0 meV/atom